1.
Compound: ScAg2W
Source: Alexandria
Functional: PBE-GGA
Structure: optimized geometry

The space group is Cmmm (No. 65) and the conventional cell measures 5.708, 8.783 and 2.819 Å, with angles of 90.00, 90.00 and 90.00 degrees. The distinct sites, in fractional coordinates, are Sc at (0.000, 0.000, 0.000), Ag at (0.250, 0.250, 0.500) and W at (0.000, 0.500, 0.000).

As for the energy above the most stable polymorph in this dataset: 168 meV per atom.



2.
Compound: MgZrAl2Pt2
Source: Alexandria
Functional: PBE-GGA
Structure: optimized geometry

The space group is P-3m1 (No. 164) and the conventional cell measures 4.4094, 4.4094 and 6.0538 Å, with angles of 90.00, 90.00 and 120.00 degrees. The distinct sites, in fractional coordinates, are Mg at (0.0000, 0.0000, 0.0000), Zr at (0.0000, 0.0000, 0.5000), Al at (0.3333, 0.6667, 0.2186) and Pt at (0.3333, 0.6667, 0.7521).



3.
Compound: BaBi2Pb6
Source: Alexandria
Functional: PBE-GGA
Structure: optimized geometry

The space group is P4/mmm (No. 123) and the conventional cell measures 4.953, 4.953 and 12.932 Å, with angles of 90.00, 90.00 and 90.00 degrees. The distinct sites, in fractional coordinates, are Ba at (0.000, 0.000, 0.000), Bi at (0.500, 0.500, 0.122), Pb at (0.000, 0.000, 0.500), Pb at (0.000, 0.500, 0.300) and Pb at (0.500, 0.500, 0.500).

As for the energy above the most stable polymorph in this dataset: 0 meV per atom.



Per-record M_tot, μB per formula unit: 0.0; 0.0; 0.0
Per-record energy of formation, eV per atom: 0.365; -0.902; -0.197